1.
# ErPu4O10

A relaxed ErPu4O10 crystal (PBE, the Alexandria database).

Values from the calculation:
ΔE_f (raw) in eV per atom: -3.161

a = 3.7877 Å, b = 3.7877 Å, c = 13.6440 Å
α = 97.98°, β = 97.98°, γ = 90.00°
Last column: nearest neighbours and their distance in Å.
Positions (direct):
O 0.3503 0.8503 0.7005  4 Pu 2.31-2.35
O 0.7500 0.2500 0.5000  4 Pu 2.33
O 0.0514 0.5514 0.1029  2 Pu 2.27, 2 Er 2.34
O 0.9486 0.4486 0.8971  2 Pu 2.27, 2 Er 2.34
O 0.8503 0.3503 0.7005  4 Pu 2.31-2.35
O 0.1497 0.6497 0.2995  4 Pu 2.31-2.35
O 0.5514 0.0514 0.1029  2 Pu 2.27, 2 Er 2.34
O 0.4486 0.9486 0.8971  2 Pu 2.27, 2 Er 2.34
O 0.2500 0.7500 0.5000  4 Pu 2.33
O 0.6497 0.1497 0.2995  4 Pu 2.31-2.35
Pu 0.4020 0.4020 0.8041  8 O 2.27-2.35
Pu 0.1994 0.1994 0.3987  8 O 2.31-2.33
Pu 0.8006 0.8006 0.6013  8 O 2.31-2.33
Pu 0.5980 0.5980 0.1959  8 O 2.27-2.35
Er 0.0000 0.0000 0.0000  8 O 2.34


2.
# RbAg2GeO4

A relaxed RbAg2GeO4 crystal (PBE, the Alexandria database).

Values from the calculation:
ΔE_f (raw) in eV per atom: -0.966

a = 5.8324 Å, b = 5.5521 Å, c = 5.5521 Å
α = 81.73°, β = 58.32°, γ = 58.32°
Last column: nearest neighbours and their distance in Å.
Positions (direct):
Ag 0.0000 0.2989 0.7011  2 O 2.19
Ag 0.0000 0.7011 0.2989  2 O 2.19
Ge 0.5000 0.5000 0.5000  4 O 1.80
O 0.8483 0.4725 0.1841  1 Ge 1.80
O 0.1517 0.8159 0.5275  1 Ge 1.80
O 0.4951 0.1841 0.4725  1 Ge 1.80
O 0.5049 0.5275 0.8159  1 Ge 1.80
Rb 0.5000 0.0000 0.0000  8 O 2.93-2.97


3.
# BaTc2Au

A relaxed BaTc2Au crystal (PBE, the Alexandria database).

Values from the calculation:
Energy above the lowest structure with this stoichiometry in eV per atom: 0.478
Energy of formation from the pure elements in eV/atom: 0.718

a = 10.0500 Å, b = 10.0500 Å, c = 10.0500 Å
α = 17.85°, β = 17.85°, γ = 17.85°
Last column: nearest neighbours and their distance in Å.
Positions (direct):
Ba 0.7493 0.7493 0.7493  6 Ba 3.12, 3 Au 3.39
Tc 0.9818 0.9818 0.9818  3 Tc 2.51
Tc 0.2561 0.2561 0.2561  3 Tc 2.51
Au 0.5128 0.5128 0.5128  3 Tc 2.90, 6 Au 3.12


no.,uncorrected energy (eV/atom),magnetization (μB/cell)
1,-10.59,15.0
2,-4.86,0.0
3,-5.76,0.0